Entry 1:
Computed, not measured: MnTl2SiOs after structural relaxation at the PBE-GGA level of DFT.

Geometry as POSCAR:
```
MnTl2SiOs
1.0
5.078 0.000 0.000
0.000 4.374 0.000
0.000 0.000 5.078
Si Tl Mn Os
1 2 1 1
direct
0.000 0.500 0.000 Si
0.500 0.000 0.000 Tl
0.000 0.000 0.500 Tl
0.000 0.000 0.000 Mn
0.500 0.500 0.500 Os
```

The value obtained for the magnetic moment is 0.899 μB/atom. The energy comes out at -23.7 eV for the cell shown. As for the energy relative to the elements, uncorrected: 6.88 eV per formula unit.

Entry 2:
Computed, not measured: TmMnSi2Os after structural relaxation at the PBE-GGA level of DFT.

Geometry as POSCAR:
```
TmMnSi2Os
1.0
-2.496 -3.073 0.400
1.710 -0.937 3.469
-2.910 5.007 0.505
Os Tm Si Mn
1 1 2 1
direct
0.750 0.250 0.500 Os
0.000 0.000 0.000 Tm
0.381 0.381 0.763 Si
0.619 0.619 0.237 Si
0.250 0.750 0.500 Mn
```

The value obtained for the magnetic moment is 0.535 μB/atom. The energy comes out at -39.2 eV for the cell shown. As for the energy relative to the elements, uncorrected: -3.48 eV per formula unit.

Entry 3:
Computed, not measured: U2MnSi2Os after structural relaxation at the PBE-GGA level of DFT.

Geometry as POSCAR:
```
U2MnSi2Os
1.0
-4.665 -3.310 -0.765
2.280 -2.086 -4.878
4.010 -2.044 6.167
Si U Os Mn
4 4 2 2
direct
0.638 0.397 0.794 Si
0.156 0.897 0.794 Si
0.844 0.103 0.206 Si
0.362 0.603 0.206 Si
0.903 0.661 0.322 U
0.582 0.839 0.678 U
0.097 0.339 0.678 U
0.418 0.161 0.322 U
0.000 0.250 0.000 Os
0.000 0.750 0.000 Os
0.500 0.250 0.000 Mn
0.500 0.750 0.000 Mn
```

The value obtained for the magnetic moment is 0.571 μB/atom. The energy comes out at -111.5 eV for the cell shown. As for the energy relative to the elements, uncorrected: -1.92 eV per formula unit.

Entry 4:
Computed, not measured: U2MnSi4Os3 after structural relaxation at the PBE-GGA level of DFT.

Geometry as POSCAR:
```
U2MnSi4Os3
1.0
-1.126 0.549 -3.905
-3.869 -0.939 0.984
-1.817 9.428 1.849
Mn Os Si U
1 3 4 2
direct
0.500 0.500 0.500 Mn
0.000 0.000 0.500 Os
0.500 0.000 0.867 Os
0.000 0.500 0.133 Os
0.500 0.500 0.000 Si
0.500 0.000 0.625 Si
0.000 0.500 0.375 Si
0.000 0.000 0.000 Si
0.000 0.500 0.743 U
0.500 0.000 0.257 U
```

The value obtained for the magnetic moment is 0.175 μB/atom. The energy comes out at -91.1 eV for the cell shown. As for the energy relative to the elements, uncorrected: -3.93 eV per formula unit.

Entry 5:
Computed, not measured: YMnSi2Os after structural relaxation at the PBE-GGA level of DFT.

Geometry as POSCAR:
```
YMnSi2Os
1.0
3.994 0.000 0.000
0.000 3.994 0.000
-1.997 -1.997 5.140
Si Os Mn Y
2 1 1 1
direct
0.380 0.380 0.761 Si
0.620 0.620 0.239 Si
0.750 0.250 0.500 Os
0.250 0.750 0.500 Mn
0.000 0.000 0.000 Y
```

The value obtained for the magnetic moment is 0.542 μB/atom. The energy comes out at -41.2 eV for the cell shown. As for the energy relative to the elements, uncorrected: -3.53 eV per formula unit.

Entry 6:
Computed, not measured: SmMn17Os after structural relaxation at the PBE-GGA level of DFT.

Geometry as POSCAR:
```
SmMn17Os
1.0
-3.283 -0.439 5.235
3.681 -3.984 2.992
3.180 4.121 3.358
Mn Os Sm
17 1 1
direct
0.987 0.501 0.987 Mn
0.018 0.292 0.694 Mn
0.694 0.018 0.292 Mn
0.694 0.292 0.018 Mn
0.341 0.885 0.341 Mn
0.987 0.987 0.501 Mn
0.907 0.907 0.907 Mn
0.646 0.168 0.646 Mn
0.885 0.341 0.341 Mn
0.341 0.341 0.885 Mn
0.093 0.093 0.093 Mn
0.292 0.018 0.694 Mn
0.292 0.694 0.018 Mn
0.018 0.694 0.292 Mn
0.168 0.646 0.646 Mn
0.501 0.987 0.987 Mn
0.646 0.646 0.168 Mn
0.338 0.338 0.338 Os
0.653 0.653 0.653 Sm
```

The value obtained for the magnetic moment is 0.126 μB/atom. For the energy relative to the elements, the calculation gives 15 kJ per mole of atoms. The energy comes out at -168.9 eV for the cell shown.

Entry 7:
Computed, not measured: Sm2MnOs after structural relaxation at the PBE-GGA level of DFT.

Geometry as POSCAR:
```
Sm2MnOs
1.0
3.315 0.000 0.000
1.657 2.871 0.000
1.657 0.957 10.272
Sm Mn Os
2 1 1
direct
0.097 0.097 0.709 Sm
0.903 0.903 0.291 Sm
0.000 0.000 0.000 Mn
0.500 0.500 0.500 Os
```

The value obtained for the magnetic moment is 0.843 μB/atom. For the energy relative to the elements, the calculation gives 66 kJ per mole of atoms. The energy comes out at -27.1 eV for the cell shown.

Entry 8:
Computed, not measured: Sm2MnOs3 after structural relaxation at the PBE-GGA level of DFT.

Geometry as POSCAR:
```
Sm2MnOs3
1.0
0.753 4.180 -3.319
-3.323 -4.008 -1.398
-2.762 0.669 4.591
Os Sm Mn
3 2 1
direct
0.500 0.500 0.500 Os
0.000 0.000 0.500 Os
0.500 0.000 0.500 Os
0.246 0.623 0.869 Sm
0.754 0.377 0.131 Sm
0.000 0.000 0.000 Mn
```

The value obtained for the magnetic moment is 0.484 μB/atom. For the energy relative to the elements, the calculation gives -15 kJ per mole of atoms. The energy comes out at -53.3 eV for the cell shown.

Entry 9:
Computed, not measured: SmTaMnOs2 after structural relaxation at the PBE-GGA level of DFT.

Geometry as POSCAR:
```
SmTaMnOs2
1.0
-4.027 1.081 0.621
-0.619 -3.557 2.176
3.716 3.795 3.178
Ta Mn Os Sm
1 1 2 1
direct
0.250 0.750 0.500 Ta
0.750 0.250 0.500 Mn
0.617 0.617 0.233 Os
0.383 0.383 0.767 Os
0.000 0.000 0.000 Sm
```

The value obtained for the magnetic moment is 0.403 μB/atom. For the energy relative to the elements, the calculation gives -6 kJ per mole of atoms. The energy comes out at -48.5 eV for the cell shown.

Entry 10:
Computed, not measured: MnSn3Os after structural relaxation at the PBE-GGA level of DFT.

Geometry as POSCAR:
```
MnSn3Os
1.0
4.882 0.000 0.000
0.000 4.882 0.000
0.000 0.000 4.882
Sn Os Mn
3 1 1
direct
0.000 0.500 0.000 Sn
0.500 0.000 0.000 Sn
0.000 0.000 0.500 Sn
0.500 0.500 0.500 Os
0.000 0.000 0.000 Mn
```

The energy above the most stable polymorph in this dataset is 0.4140 eV/atom. The value obtained for the magnetic moment is 0.603 μB/atom. For the energy relative to the elements, the calculation gives 106 kJ per mole of atoms. The energy comes out at -26.9 eV for the cell shown.

Entry 11:
Computed, not measured: Mn2SnOs2 after structural relaxation at the PBE-GGA level of DFT.

Geometry as POSCAR:
```
Mn2SnOs2
1.0
7.372 0.000 0.000
0.000 7.372 0.000
0.000 0.000 2.779
Os Mn Sn
4 4 2
direct
0.872 0.628 0.000 Os
0.628 0.128 0.000 Os
0.128 0.372 0.000 Os
0.372 0.872 0.000 Os
0.838 0.338 0.500 Mn
0.662 0.838 0.500 Mn
0.162 0.662 0.500 Mn
0.338 0.162 0.500 Mn
0.000 0.000 0.000 Sn
0.500 0.500 0.000 Sn
```

The value obtained for the magnetic moment is 0.582 μB/atom. For the energy relative to the elements, the calculation gives 32 kJ per mole of atoms. The energy comes out at -86.3 eV for the cell shown.

Entry 12:
Computed, not measured: Mn2Sn2Os after structural relaxation at the PBE-GGA level of DFT.

Geometry as POSCAR:
```
Mn2Sn2Os
1.0
-3.009 1.205 2.137
-2.420 -0.902 -2.899
-3.326 -5.265 1.814
Os Sn Mn
1 2 2
direct
0.000 0.000 0.000 Os
0.250 0.750 0.500 Sn
0.750 0.250 0.500 Sn
0.413 0.413 0.175 Mn
0.587 0.587 0.825 Mn
```

The energy above the most stable polymorph in this dataset is 0.5441 eV/atom. The value obtained for the magnetic moment is 0.898 μB/atom. For the energy relative to the elements, the calculation gives 101 kJ per mole of atoms. The energy comes out at -32.3 eV for the cell shown.

> What is the energy in the tenth record?

-26.9 eV for the cell shown

> What is the energy in the seventh record?

-27.1 eV for the cell shown